Entry 1:
{"formula": "LaPa2TiS8", "functional": "PBE", "state": "relaxed", "cell": [[-3.797, -0.203, -5.023], [-0.421, -6.040, 0.343], [-6.495, 0.730, 4.881]], "species": ["Pa", "S", "S", "S", "Ti", "S", "S", "S", "S", "Pa", "S", "La"], "fractional_positions": [[0.500, 0.500, 0.241], [0.680, 0.727, 0.000], [0.320, 0.273, 0.000], [0.169, 0.778, 0.785], [0.000, 0.000, 0.000], [0.643, 0.721, 0.500], [0.357, 0.279, 0.500], [0.831, 0.222, 0.785], [0.169, 0.778, 0.215], [0.500, 0.500, 0.759], [0.831, 0.222, 0.215], [0.000, 0.000, 0.500]], "magnetic_moment_mub_per_cell": 1.08, "formation_energy_uncorrected_ev_per_fu": -18.2, "dos_ef_per_ev_cell": 7.56, "crystal_system": "monoclinic", "sg": "P2/m, No. 10", "energy_ev_per_atom": -6.9177}

***

Entry 2:
{"formula": "LaUPa2S8", "functional": "PBE", "state": "relaxed", "cell": [[-3.680, 3.137, -4.174], [-4.578, -4.202, 0.719], [-3.210, 4.568, 6.263]], "species": ["La", "S", "S", "S", "Pa", "U", "S", "S", "S", "S", "S", "Pa"], "fractional_positions": [[0.000, 0.000, 0.500], [0.648, 0.714, 0.500], [0.831, 0.235, 0.763], [0.169, 0.765, 0.237], [0.500, 0.500, 0.247], [0.000, 0.000, 0.000], [0.352, 0.286, 0.500], [0.831, 0.235, 0.237], [0.665, 0.718, 0.000], [0.335, 0.282, 0.000], [0.169, 0.765, 0.763], [0.500, 0.500, 0.753]], "magnetic_moment_mub_per_cell": 3.06, "formation_energy_uncorrected_ev_per_fu": -18.9, "dos_ef_per_ev_cell": 14.26, "crystal_system": "monoclinic", "sg": "P2/m, No. 10", "energy_ev_per_atom": -7.2599}